Compound: Ge3IrRu
Source: Alexandria
Functional: PBE-GGA
Structure: relaxed

Cell lengths 4.706, 4.706, 4.706 Å; angles 90.00, 90.00, 90.00 degrees
Atoms (fractional coordinates):
Ru 0.000 0.000 0.000
Ge 0.000 0.500 0.000
Ge 0.000 0.000 0.500
Ge 0.500 0.000 0.000
Ir 0.500 0.500 0.500

Results
Offset from the most stable computed form   0.00 kJ/mol of atoms
ΔE_f   0.783 eV/atom
Total magnetic moment   0.00 μB/atom
Raw total energy   -28.1 eV per cell
Space group   No. 221

Compound: GeIr3Ru
Source: Alexandria
Functional: PBE-GGA
Structure: relaxed

Cell lengths 4.714, 4.714, 4.714 Å; angles 90.00, 90.00, 90.00 degrees
Atoms (fractional coordinates):
Ru 0.000 0.000 0.000
Ge 0.500 0.500 0.500
Ir 0.000 0.500 0.000
Ir 0.000 0.000 0.500
Ir 0.500 0.000 0.000

Results
Offset from the most stable computed form   23.87 kJ/mol of atoms
ΔE_f   1.733 eV/atom
Total magnetic moment   0.00 μB/atom
Raw total energy   -31.8 eV per cell
Space group   No. 221

Compound: GeIr3Ru
Source: Alexandria
Functional: PBE-GGA
Structure: relaxed

Cell lengths 4.533, 4.533, 4.533 Å; angles 90.00, 90.00, 90.00 degrees
Atoms (fractional coordinates):
Ru 0.500 0.500 0.500
Ge 0.000 0.000 0.000
Ir 0.000 0.500 0.000
Ir 0.000 0.000 0.500
Ir 0.500 0.000 0.000

Results
Offset from the most stable computed form   0.00 kJ/mol of atoms
ΔE_f   1.486 eV/atom
Total magnetic moment   0.96 μB/atom
Raw total energy   -33.0 eV per cell
Space group   No. 221